No. 1
Crystalline SmDy3Pt2 at its relaxed geometry, computed with PBE-GGA.

Calculated values
The value obtained for the energy above the most stable polymorph in this dataset is 93 meV/atom. The calculation puts the formation energy at -0.841 eV per atom. Its crystal system is monoclinic. The magnetic moment comes out at 0.0 Bohr magnetons per cell. The value obtained for the energy is -71.3 eV for the cell shown.

Unit cell a=8.471 b=8.471 c=8.470 alpha=99.61 beta=99.61 gamma=33.54
Fractional positions:
Sm  0.063  0.063  0.189
Sm  0.937  0.937  0.811
Dy  0.189  0.189  0.565
Dy  0.312  0.312  0.939
Dy  0.436  0.436  0.314
Dy  0.564  0.564  0.686
Dy  0.688  0.688  0.061
Dy  0.811  0.811  0.435
Pt  0.127  0.127  0.873
Pt  0.374  0.374  0.622
Pt  0.626  0.626  0.378
Pt  0.873  0.873  0.127


No. 2
Crystalline Sm2DyPt at its relaxed geometry, computed with PBE-GGA.

Calculated values
The value obtained for the energy above the most stable polymorph in this dataset is 0 meV/atom. The calculation puts the formation energy at -0.670 eV per atom. Its crystal system is orthorhombic. The magnetic moment comes out at 0.0 Bohr magnetons per cell. The value obtained for the energy is -91.1 eV for the cell shown.

Unit cell a=7.117 b=9.871 c=6.544 alpha=90.00 beta=90.00 gamma=90.00
Fractional positions:
Sm  0.181  0.061  0.177
Sm  0.181  0.439  0.177
Sm  0.319  0.561  0.677
Sm  0.319  0.939  0.677
Sm  0.681  0.061  0.323
Sm  0.681  0.439  0.323
Sm  0.819  0.561  0.823
Sm  0.819  0.939  0.823
Dy  0.030  0.250  0.640
Dy  0.470  0.750  0.140
Dy  0.530  0.250  0.860
Dy  0.970  0.750  0.360
Pt  0.114  0.750  0.950
Pt  0.386  0.250  0.450
Pt  0.614  0.750  0.550
Pt  0.886  0.250  0.050


No. 3
Crystalline Sm2Dy2Pt15 at its relaxed geometry, computed with PBE-GGA.

Calculated values
The calculation puts the formation energy at -0.725 eV per atom. Its crystal system is trigonal. The magnetic moment comes out at 0.0 Bohr magnetons per cell. The value obtained for the energy is -123.0 eV for the cell shown.

Unit cell a=7.106 b=7.106 c=7.106 alpha=82.30 beta=82.30 gamma=82.30
Fractional positions:
Sm  0.140  0.140  0.140
Sm  0.860  0.860  0.860
Dy  0.393  0.393  0.393
Dy  0.607  0.607  0.607
Pt  0.000  0.500  0.500
Pt  0.153  0.153  0.661
Pt  0.153  0.661  0.153
Pt  0.187  0.500  0.813
Pt  0.187  0.813  0.500
Pt  0.339  0.847  0.847
Pt  0.500  0.000  0.500
Pt  0.500  0.187  0.813
Pt  0.500  0.500  0.000
Pt  0.500  0.813  0.187
Pt  0.661  0.153  0.153
Pt  0.813  0.187  0.500
Pt  0.813  0.500  0.187
Pt  0.847  0.339  0.847
Pt  0.847  0.847  0.339


No. 4
Crystalline SmDyPt6 at its relaxed geometry, computed with PBE-GGA.

Calculated values
The value obtained for the energy above the most stable polymorph in this dataset is 337 meV/atom. The calculation puts the formation energy at -0.646 eV per atom. Its crystal system is cubic. The magnetic moment comes out at 0.0 Bohr magnetons per cell. The value obtained for the energy is -50.7 eV for the cell shown.

Unit cell a=5.328 b=5.328 c=5.328 alpha=90.00 beta=90.00 gamma=90.00
Fractional positions:
Sm  0.000  0.000  0.000
Dy  0.500  0.500  0.500
Pt  0.000  0.251  0.500
Pt  0.000  0.749  0.500
Pt  0.251  0.500  0.000
Pt  0.500  0.000  0.251
Pt  0.500  0.000  0.749
Pt  0.749  0.500  0.000


No. 5
Crystalline SmDy2Pt at its relaxed geometry, computed with PBE-GGA.

Calculated values
The value obtained for the energy above the most stable polymorph in this dataset is 162 meV/atom. The calculation puts the formation energy at -0.534 eV per atom. Its crystal system is trigonal. The magnetic moment comes out at 0.0 Bohr magnetons per cell. The value obtained for the energy is -66.3 eV for the cell shown.

Unit cell a=3.953 b=3.953 c=26.986 alpha=90.00 beta=90.00 gamma=120.00
Fractional positions:
Sm  0.000  0.000  0.000
Sm  0.333  0.667  0.667
Sm  0.667  0.333  0.333
Dy  0.000  0.000  0.558
Dy  0.000  0.000  0.771
Dy  0.333  0.667  0.225
Dy  0.333  0.667  0.438
Dy  0.667  0.333  0.105
Dy  0.667  0.333  0.891
Pt  0.000  0.000  0.164
Pt  0.333  0.667  0.831
Pt  0.667  0.333  0.497


No. 6
Crystalline Sm2Dy3Pt4 at its relaxed geometry, computed with PBE-GGA.

Calculated values
The calculation puts the formation energy at -1.156 eV per atom. Its crystal system is monoclinic. The magnetic moment comes out at 0.0 Bohr magnetons per cell. The value obtained for the energy is -115.6 eV for the cell shown.

Unit cell a=7.642 b=7.680 c=7.748 alpha=90.00 beta=109.38 gamma=90.00
Fractional positions:
Sm  0.197  0.178  0.081
Sm  0.197  0.322  0.581
Sm  0.803  0.678  0.419
Sm  0.803  0.822  0.919
Dy  0.244  0.665  0.248
Dy  0.244  0.835  0.748
Dy  0.500  0.000  0.500
Dy  0.500  0.500  0.000
Dy  0.756  0.165  0.252
Dy  0.756  0.335  0.752
Pt  0.090  0.536  0.859
Pt  0.090  0.964  0.359
Pt  0.495  0.134  0.871
Pt  0.495  0.366  0.371
Pt  0.505  0.634  0.629
Pt  0.505  0.866  0.129
Pt  0.910  0.036  0.641
Pt  0.910  0.464  0.141


- What is the magnetic moment in the sixth record?
  0.0 Bohr magnetons per cell